The following is a DFT calculation (PBE-GGA) of a relaxed structure of BaSr2Ge.

Cell: 10.323 10.323 8.104 Å, 50.44 50.44 90.00°
Element x y z (fractional)
Sr1 0.375 0.475 0.750
Sr2 0.525 0.125 0.250
Sr3 0.875 0.775 0.750
Sr4 0.225 0.625 0.250
Ba1 0.750 0.250 0.500
Ba2 0.000 0.000 0.000
Ge1 0.250 0.750 0.500
Ge2 0.500 0.500 0.000

Calculated values
- Energy of formation: -0.158 eV/atom
- Theoretical density: 3.4 g cm⁻³


The following is a DFT calculation (PBE-GGA) of a relaxed structure of Ba3SrGe4.

Cell: 4.765 6.858 10.139 Å, 109.76 103.59 90.00°
Element x y z (fractional)
Ba1 0.195 0.195 0.390
Ba2 0.000 0.500 0.000
Ba3 0.805 0.805 0.610
Ge1 0.627 0.801 0.255
Ge2 0.627 0.454 0.255
Ge3 0.373 0.546 0.745
Ge4 0.373 0.199 0.745
Sr1 0.500 0.000 0.000

Calculated values
- Energy of formation: -0.421 eV/atom
- Theoretical density: 4.3 g cm⁻³


The following is a DFT calculation (PBE-GGA) of a relaxed structure of BaSrGe3.

Cell: 4.290 4.912 14.073 Å, 100.05 90.00 90.00°
Element x y z (fractional)
Ge1 0.250 0.679 0.357
Ge2 0.250 0.377 0.753
Ge3 0.750 0.321 0.643
Ge4 0.250 0.475 0.949
Ge5 0.750 0.623 0.247
Ge6 0.750 0.525 0.051
Sr1 0.750 0.202 0.405
Sr2 0.250 0.798 0.595
Ba1 0.750 0.926 0.851
Ba2 0.250 0.074 0.149

Calculated values
- Energy of formation: -0.538 eV/atom
- Theoretical density: 5.0 g cm⁻³
- Relative energy among the computed polymorphs: 0 meV per atom


What is the formula in the second record? Ba3SrGe4


The highest theoretical density belongs to which entry? BaSrGe3


The highest theoretical density belongs to which entry? BaSrGe3